{"formula": "Ce4Al23Ni6", "functional": "PBE-GGA", "state": "optimized geometry", "cell": [[8.271, -0.002, -0.008], [7.243, 3.992, -0.008], [6.992, 1.798, 16.784]], "species": ["Ce", "Ce", "Ce", "Ce", "Al", "Al", "Al", "Al", "Al", "Al", "Al", "Al", "Al", "Al", "Al", "Al", "Al", "Al", "Al", "Al", "Al", "Al", "Al", "Al", "Al", "Al", "Al", "Ni", "Ni", "Ni", "Ni", "Ni", "Ni"], "fractional_positions": [[0.735, 0.735, 0.718], [0.570, 0.570, 0.092], [0.430, 0.430, 0.908], [0.265, 0.265, 0.282], [0.858, 0.858, 0.357], [0.431, 0.431, 0.439], [0.918, 0.918, 0.187], [0.468, 0.468, 0.280], [0.744, 0.744, 0.546], [0.203, 0.203, 0.979], [0.911, 0.911, 0.778], [0.082, 0.082, 0.813], [0.377, 0.377, 0.096], [0.392, 0.392, 0.661], [0.569, 0.569, 0.561], [0.724, 0.724, 0.177], [0.256, 0.256, 0.454], [0.532, 0.532, 0.720], [0.000, 0.000, 0.000], [0.089, 0.089, 0.222], [0.623, 0.623, 0.904], [0.276, 0.276, 0.823], [0.797, 0.797, 0.021], [0.090, 0.090, 0.453], [0.910, 0.910, 0.547], [0.142, 0.142, 0.643], [0.608, 0.608, 0.339], [0.992, 0.992, 0.633], [0.226, 0.226, 0.103], [0.691, 0.691, 0.432], [0.774, 0.774, 0.897], [0.309, 0.309, 0.568], [0.008, 0.008, 0.367]], "e_form_ev_per_atom": -0.5028, "sg": "No. 12"}

=====

{"formula": "TbSm2Ru", "functional": "PBE-GGA", "state": "optimized geometry", "cell": [[-2.698, 1.454, -2.548], [-2.675, -4.757, 3.233], [-2.873, 6.016, 6.475]], "species": ["Tb", "Tb", "Sm", "Sm", "Sm", "Sm", "Ru", "Ru"], "fractional_positions": [[0.421, 0.841, 0.250], [0.579, 0.159, 0.750], [0.142, 0.284, 0.432], [0.858, 0.716, 0.568], [0.858, 0.716, 0.932], [0.142, 0.284, 0.068], [0.758, 0.516, 0.250], [0.242, 0.484, 0.750]], "e_form_ev_per_atom": -0.2342, "sg": "No. 63"}

=====

{"formula": "NpGeC", "functional": "PBE-GGA", "state": "optimized geometry", "cell": [[-1.749, 1.772, 1.748], [-2.479, -1.436, -1.024], [2.526, -3.799, 3.733]], "species": ["Np", "Ge", "C"], "fractional_positions": [[0.336, 0.336, 0.672], [0.610, 0.610, 0.220], [0.904, 0.904, 0.807]], "e_form_ev_per_atom": 0.5456, "sg": "No. 107"}

=====

{"formula": "ScAs2SeS", "functional": "PBE-GGA", "state": "optimized geometry", "cell": [[5.189, 0.000, 0.000], [0.000, 5.189, 0.000], [0.000, 0.000, 4.921]], "species": ["Sc", "As", "As", "S", "Se"], "fractional_positions": [[0.000, 0.000, 0.000], [0.000, 0.500, 0.000], [0.500, 0.000, 0.000], [0.500, 0.500, 0.500], [0.000, 0.000, 0.500]], "e_form_raw_ev_per_atom": 0.425, "sg": "No. 123"}